# 1
Density functional theory data (PBE-GGA) for a relaxed YZr2CdO crystal.

Output
Formation energy from raw total energies: -1.13 eV per atom
Calculated volume: 19.60 A^3/atom

a b c (Å): 4.5200 4.5200 4.7957
angles (deg): 90.00 90.00 90.00
Element x y z (fractional)
1 Zr 0.0000 0.5000 0.0000
2 Zr 0.5000 0.0000 0.0000
3 O 0.0000 0.0000 0.0000
4 Y 0.0000 0.0000 0.5000
5 Cd 0.5000 0.5000 0.5000



# 2
Density functional theory data (PBE-GGA) for a relaxed Pm6GaCo2I3 crystal.

Output
Formation energy from raw total energies: -0.62 eV per atom
Calculated volume: 29.80 A^3/atom

a b c (Å): 7.1710 7.1710 8.3703
angles (deg): 98.24 98.24 119.89
Element x y z (fractional)
1 Co 0.3326 0.6674 0.0000
2 I 0.5000 0.5000 0.5000
3 Pm 0.0633 0.4221 0.1890
4 Ga 0.0000 0.0000 0.0000
5 I 0.8381 0.1619 0.5000
6 Pm 0.2966 0.2966 0.8132
7 Pm 0.4221 0.0633 0.1890
8 Co 0.6674 0.3326 0.0000
9 Pm 0.7034 0.7034 0.1868
10 I 0.1619 0.8381 0.5000
11 Pm 0.5779 0.9367 0.8110
12 Pm 0.9367 0.5779 0.8110



# 3
Density functional theory data (PBE-GGA) for a relaxed RbCe3B4O12 crystal.

Output
Formation energy from raw total energies: -2.84 eV per atom
Calculated volume: 14.59 A^3/atom

a b c (Å): 6.7583 6.7583 6.7583
angles (deg): 100.24 100.24 100.24
Each line ends with the local moment (μB).
Element x y z (fractional)
1 O 0.5000 0.0951 0.9049  -0.01
2 O 0.5815 0.7885 0.9974  -0.01
3 O 0.0026 0.2115 0.4185  -0.01
4 B 0.5000 0.5000 0.5000  0.00
5 O 0.7885 0.9974 0.5815  -0.01
6 O 0.9974 0.5815 0.7885  -0.01
7 O 0.5000 0.3658 0.6342  -0.01
8 Ce 0.0000 0.5394 0.4606  0.37
9 O 0.0951 0.9049 0.5000  -0.01
10 B 0.9599 0.0401 0.5000  0.00
11 O 0.3658 0.6342 0.5000  -0.01
12 O 0.6342 0.5000 0.3658  -0.01
13 Ce 0.4606 0.0000 0.5394  0.37
14 Ce 0.5394 0.4606 0.0000  0.37
15 B 0.0401 0.5000 0.9599  0.00
16 Rb 0.0000 0.0000 0.0000  0.00
17 O 0.9049 0.5000 0.0951  -0.01
18 B 0.5000 0.9599 0.0401  0.00
19 O 0.2115 0.4185 0.0026  -0.01
20 O 0.4185 0.0026 0.2115  -0.01



# 4
Density functional theory data (PBE-GGA) for a relaxed K2TaSi crystal.

Output
Formation energy from raw total energies: 0.94 eV per atom
Calculated volume: 23.56 A^3/atom

a b c (Å): 3.9654 3.9615 5.9999
angles (deg): 90.00 90.00 90.00
Element x y z (fractional)
1 Si 0.5000 0.0000 0.5000
2 Ta 0.0000 0.5000 0.5000
3 K 0.0000 0.0000 0.0000
4 K 0.5000 0.5000 0.0000



# 5
Density functional theory data (PBE-GGA) for a relaxed KSmAl4 crystal.

Output
Electronic total energy: -3.581 eV per atom
Calculated volume: 22.30 A^3/atom

a b c (Å): 5.7409 5.7409 5.7409
angles (deg): 60.00 60.00 60.00
Element x y z (fractional)
1 Al 0.6259 0.1223 0.6259
2 Sm 0.0000 0.0000 0.0000
3 Al 0.1223 0.6259 0.6259
4 K 0.2500 0.2500 0.2500
5 Al 0.6259 0.6259 0.1223
6 Al 0.6259 0.6259 0.6259



# 6
Density functional theory data (PBE-GGA) for a relaxed AlZnMo2 crystal.

Output
Electronic total energy: -6.519 eV per atom
Calculated volume: 15.53 A^3/atom

a b c (Å): 2.6756 4.1544 5.5868
angles (deg): 90.00 90.00 90.00
Element x y z (fractional)
1 Mo 0.0000 0.0000 0.0046
2 Zn 0.0000 0.0000 0.5081
3 Al 0.5000 0.5000 0.7423
4 Mo 0.5000 0.5000 0.2451



# 7
Density functional theory data (PBE-GGA) for a relaxed GaBiP3 crystal.

Output
Energy above the most stable polymorph in this dataset: 0.000 eV per atom
Calculated volume: 21.34 A^3/atom

a b c (Å): 4.7433 4.7433 4.7433
angles (deg): 90.00 90.00 90.00
Element x y z (fractional)
1 Bi 0.5000 0.5000 0.5000
2 Ga 0.0000 0.0000 0.0000
3 P 0.0000 0.0000 0.5000
4 P 0.5000 0.0000 0.0000
5 P 0.0000 0.5000 0.0000



# 8
Density functional theory data (PBE-GGA) for a relaxed NbAsPtBr2 crystal.

Output
Energy above the most stable polymorph in this dataset: 0.190 eV per atom
Formation energy from raw total energies: 0.82 eV per atom
Calculated volume: 25.61 A^3/atom

a b c (Å): 5.1193 5.1193 4.8866
angles (deg): 90.00 90.00 90.00
Each line ends with the local moment (μB).
Element x y z (fractional)
1 Pt 0.0000 0.0000 0.0000  -0.03
2 Br 0.5000 0.0000 0.0000  -0.06
3 Nb 0.5000 0.5000 0.5000  2.61
4 Br 0.0000 0.5000 0.0000  -0.06
5 As 0.0000 0.0000 0.5000  -0.25



# 9
Density functional theory data (PBE-GGA) for a relaxed PaZnHg2 crystal.

Output
Energy above the most stable polymorph in this dataset: 0.002 eV per atom
Calculated volume: 22.57 A^3/atom

a b c (Å): 5.0358 5.0358 5.0358
angles (deg): 60.00 60.00 60.00
Each line ends with the local moment (μB).
Element x y z (fractional)
1 Hg 0.7500 0.7500 0.7500  0.01
2 Zn 0.0000 0.0000 0.0000  0.00
3 Hg 0.2500 0.2500 0.2500  0.01
4 Pa 0.5000 0.5000 0.5000  0.51



# 10
Density functional theory data (PBE-GGA) for a relaxed KOsCl2 crystal.

Output
Energy above the most stable polymorph in this dataset: 0.026 eV per atom
Formation energy from raw total energies: -0.11 eV per atom
Calculated volume: 26.83 A^3/atom

a b c (Å): 5.7643 5.7643 5.6800
angles (deg): 71.03 71.03 37.25
Each line ends with the local moment (μB).
Element x y z (fractional)
1 K 0.5622 0.5622 0.4553  0.00
2 Os 0.3119 0.3119 0.0169  0.52
3 Cl 0.7312 0.7312 0.8569  0.04
4 Cl 0.8947 0.8947 0.1709  0.04



# 11
Density functional theory data (PBE-GGA) for a relaxed BaMnP crystal.

Output
Electronic total energy: -6.187 eV per atom
Calculated volume: 25.35 A^3/atom

a b c (Å): 3.8428 3.8428 10.2994
angles (deg): 90.00 90.00 90.00
Each line ends with the local moment (μB).
Element x y z (fractional)
1 Ba 0.5000 0.0000 0.2094  -0.01
2 P 0.5000 0.0000 0.6249  -0.08
3 P 0.0000 0.5000 0.3751  -0.08
4 Ba 0.0000 0.5000 0.7906  -0.01
5 Mn 0.5000 0.5000 0.5000  1.64
6 Mn 0.0000 0.0000 0.5000  1.64



# 12
Density functional theory data (PBE-GGA) for a relaxed LiCoP crystal.

Output
Electronic total energy: -5.379 eV per atom
Calculated volume: 12.50 A^3/atom

a b c (Å): 3.7535 3.7532 6.5205
angles (deg): 89.98 73.27 59.99
Element x y z (fractional)
1 P 0.4857 0.3792 0.7047
2 Co 0.8698 0.6871 0.6287
3 P 0.1064 0.5690 0.2729
4 Li 0.5625 0.8407 0.0885
5 Li 0.0292 0.1073 0.8893
6 Co 0.7222 0.2611 0.3489



# 13
Density functional theory data (PBE-GGA) for a relaxed LuGa2Au crystal.

Output
Electronic total energy: -3.880 eV per atom
Calculated volume: 19.08 A^3/atom

a b c (Å): 4.7612 4.7612 4.7612
angles (deg): 60.00 60.00 60.00
Element x y z (fractional)
1 Lu 0.0000 0.0000 0.0000
2 Au 0.5000 0.5000 0.5000
3 Ga 0.7500 0.7500 0.7500
4 Ga 0.2500 0.2500 0.2500



# 14
Density functional theory data (PBE-GGA) for a relaxed Ba4Tl crystal.

Output
Energy above the most stable polymorph in this dataset: 0.112 eV per atom
Calculated volume: 57.56 A^3/atom

a b c (Å): 7.2040 7.2040 7.2040
angles (deg): 109.47 109.47 109.47
Element x y z (fractional)
1 Ba 0.0000 0.0000 0.5000
2 Tl 0.0000 0.0000 0.0000
3 Ba 0.5000 0.0000 0.0000
4 Ba 0.0000 0.5000 0.0000
5 Ba 0.5000 0.5000 0.5000



# 15
Density functional theory data (PBE-GGA) for a relaxed PmPrNi crystal.

Output
Energy above the most stable polymorph in this dataset: 0.085 eV per atom
Calculated volume: 26.75 A^3/atom

a b c (Å): 3.5259 3.5259 6.9196
angles (deg): 104.76 104.76 90.00
Element x y z (fractional)
1 Pr 0.0354 0.0354 0.0707
2 Pm 0.2935 0.2935 0.5870
3 Ni 0.6712 0.6712 0.3423



# 16
Density functional theory data (PBE-GGA) for a relaxed TmFe10Mo crystal.

Output
Electronic total energy: -8.218 eV per atom
Calculated volume: 13.07 A^3/atom

a b c (Å): 3.9871 4.7788 8.2314
angles (deg): 90.00 90.00 90.00
Each line ends with the local moment (μB).
Element x y z (fractional)
1 Fe 0.0000 0.5000 0.8168  1.97
2 Fe 0.5000 0.2534 0.7401  1.73
3 Tm 0.0000 0.0000 0.0000  -0.38
4 Fe 0.5000 0.0000 0.5000  1.31
5 Fe 0.0000 0.5000 0.1832  1.97
6 Fe 0.5000 0.7466 0.2599  1.73
7 Fe 0.0000 0.0000 0.6551  1.72
8 Mo 0.0000 0.5000 0.5000  -1.14
9 Fe 0.5000 0.7466 0.7401  1.73
10 Fe 0.5000 0.5000 0.0000  2.12
11 Fe 0.0000 0.0000 0.3449  1.72
12 Fe 0.5000 0.2534 0.2599  1.73



# 17
Density functional theory data (PBE-GGA) for a relaxed Pm6Nd4Tm crystal.

Output
Energy above the most stable polymorph in this dataset: 0.218 eV per atom
Calculated volume: 36.04 A^3/atom

a b c (Å): 8.6909 8.6909 8.6909
angles (deg): 76.72 127.94 127.94
Element x y z (fractional)
1 Pm 0.3438 0.5923 0.5923
2 Pm 0.6562 0.2484 0.2484
3 Pm 0.5000 0.5000 0.0000
4 Nd 0.0000 0.5868 0.0369
5 Tm 0.0000 0.0000 0.0000
6 Pm 0.0000 0.7516 0.4077
7 Pm 0.5000 0.0000 0.5000
8 Nd 0.0000 0.0369 0.5868
9 Nd 0.4501 0.4132 0.4132
10 Nd 0.5499 0.9631 0.9631
11 Pm 0.0000 0.4077 0.7516



# 18
Density functional theory data (PBE-GGA) for a relaxed Ce12PuGe6 crystal.

Output
Energy above the most stable polymorph in this dataset: 0.025 eV per atom
Calculated volume: 27.90 A^3/atom

a b c (Å): 8.1522 8.1522 8.1522
angles (deg): 96.58 96.58 96.58
Each line ends with the local moment (μB).
Element x y z (fractional)
1 Ce 0.7019 0.9355 0.0206  -0.01
2 Ce 0.9794 0.2981 0.0645  -0.01
3 Ge 0.1005 0.6131 0.2928  0.00
4 Ce 0.2363 0.4560 0.5958  0.21
5 Ce 0.9355 0.0206 0.7019  -0.01
6 Ge 0.2928 0.1005 0.6131  0.00
7 Ge 0.3869 0.7072 0.8995  0.00
8 Ce 0.2981 0.0645 0.9794  -0.01
9 Ge 0.6131 0.2928 0.1005  0.00
10 Ce 0.5958 0.2363 0.4560  0.21
11 Ce 0.4560 0.5958 0.2363  0.21
12 Ce 0.0206 0.7019 0.9355  -0.01
13 Ce 0.4042 0.7637 0.5440  0.21
14 Ge 0.7072 0.8995 0.3869  0.00
15 Pu 0.0000 0.0000 0.0000  0.00
16 Ce 0.7637 0.5440 0.4042  0.21
17 Ce 0.0645 0.9794 0.2981  -0.01
18 Ge 0.8995 0.3869 0.7072  0.00
19 Ce 0.5440 0.4042 0.7637  0.21



# 19
Density functional theory data (PBE-GGA) for a relaxed Sr3LiTm2S6 crystal.

Output
Formation energy from raw total energies: -1.98 eV per atom
Calculated volume: 23.52 A^3/atom

a b c (Å): 6.9905 6.9905 7.0626
angles (deg): 99.47 99.47 119.99
Element x y z (fractional)
1 S 0.7354 0.7354 0.2217
2 S 0.2646 0.2646 0.7783
3 Sr 0.8361 0.1639 0.5000
4 Li 0.0000 0.0000 0.0000
5 S 0.0750 0.4141 0.2243
6 Tm 0.3328 0.6672 0.0000
7 Sr 0.5000 0.5000 0.5000
8 S 0.9250 0.5859 0.7757
9 Tm 0.6672 0.3328 0.0000
10 S 0.4141 0.0750 0.2243
11 Sr 0.1639 0.8361 0.5000
12 S 0.5859 0.9250 0.7757



# 20
Density functional theory data (PBE-GGA) for a relaxed CaSi2Ni crystal.

Output
Formation energy from raw total energies: -0.17 eV per atom
Calculated volume: 16.66 A^3/atom

a b c (Å): 3.1823 3.1823 6.5809
angles (deg): 90.00 90.00 90.00
Element x y z (fractional)
1 Si 0.5000 0.5000 0.1898
2 Si 0.0000 0.0000 0.9700
3 Ca 0.0000 0.0000 0.5011
4 Ni 0.5000 0.5000 0.8390